First-principles (PBE) data for a relaxed CuSbW2 crystal, as listed in Alexandria.

abc: 8.6708 8.6708 8.6708
angles: 20.88 20.88 20.88
Closest atoms and distances in Å follow each position.
Element x y z (fractional)
Cu: 0.5061 0.5061 0.5061  3 W 2.73, 3 Sb 2.91
Sb: 0.7500 0.7500 0.7500  3 Cu 2.91, 3 W 2.97, 6 Sb 3.14
W: 0.9911 0.9911 0.9911  3 W 2.57
W: 0.2527 0.2527 0.2527  3 W 2.57, 3 Cu 2.73

density	12.7	Mg/m³
total magnetization	0.00	μB per formula unit
formation energy (no corrections)	511	meV/atom
N(E_F)	1.396	states/eV/cell